(1)
First-principles (PBE) data for a geometry-optimized Zr6MnBi2 structure, as listed in the Alexandria database.

The structure in CIF format:
```
data_Zr6MnBi2
_cell_length_a 7.9513
_cell_length_b 7.9513
_cell_length_c 3.7016
_cell_angle_alpha 90.00
_cell_angle_beta 90.00
_cell_angle_gamma 120.00
_space_group_name_H-M_alt 'P -6 2 m'
_space_group_IT_number 189
_space_group_name_Hall 'P -6 -2'
loop_
_atom_site_label
_atom_site_fract_x
_atom_site_fract_y
_atom_site_fract_z
Zr1 0.0000 0.2364 0.0000
Zr2 0.0000 0.6099 0.5000
Mn1 0.0000 0.0000 0.5000
Bi1 0.3333 0.6667 0.0000
```

(2)
First-principles (PBE) data for a geometry-optimized Zr3MnBi structure, as listed in the Alexandria database.

The structure in CIF format:
```
data_Zr3MnBi
_cell_length_a 5.346
_cell_length_b 5.346
_cell_length_c 5.346
_cell_angle_alpha 90.00
_cell_angle_beta 90.00
_cell_angle_gamma 90.00
_space_group_name_H-M_alt 'P m -3 m'
_space_group_IT_number 221
_space_group_name_Hall '-P 4 2 3'
loop_
_atom_site_label
_atom_site_fract_x
_atom_site_fract_y
_atom_site_fract_z
Zr1 0.000 0.000 0.500
Mn1 0.500 0.500 0.500
Bi1 0.000 0.000 0.000
```

- ΔE to the lowest computed polymorph (meV/atom) = 1630

(3)
First-principles (PBE) data for a geometry-optimized Zr2MnBi structure, as listed in the Alexandria database.

The structure in CIF format:
```
data_Zr2MnBi
_cell_length_a 7.687
_cell_length_b 7.687
_cell_length_c 5.950
_cell_angle_alpha 90.00
_cell_angle_beta 90.00
_cell_angle_gamma 90.00
_space_group_name_H-M_alt 'I -4 2 d'
_space_group_IT_number 122
_space_group_name_Hall 'I -4 2bw'
loop_
_atom_site_label
_atom_site_fract_x
_atom_site_fract_y
_atom_site_fract_z
Zr1 0.195 0.250 0.125
Mn1 0.000 0.000 0.000
Bi1 0.000 0.000 0.500
```

(4)
First-principles (PBE) data for a geometry-optimized ZrMn3Bi structure, as listed in the Alexandria database.

The structure in CIF format:
```
data_ZrMn3Bi
_cell_length_a 4.682
_cell_length_b 4.682
_cell_length_c 4.682
_cell_angle_alpha 90.00
_cell_angle_beta 90.00
_cell_angle_gamma 90.00
_space_group_name_H-M_alt 'P m -3 m'
_space_group_IT_number 221
_space_group_name_Hall '-P 4 2 3'
loop_
_atom_site_label
_atom_site_fract_x
_atom_site_fract_y
_atom_site_fract_z
Zr1 0.000 0.000 0.000
Mn1 0.000 0.500 0.500
Bi1 0.500 0.500 0.500
```

- ΔE to the lowest computed polymorph (meV/atom) = 665

Number 1: volume 202.7 Å³/f.u., VASP energy -7.86 eV/atom. Number 2: volume 152.7 Å³/f.u., VASP energy -6.00 eV/atom. Number 3: volume 87.9 Å³/f.u., VASP energy -7.27 eV/atom. Number 4: volume 102.6 Å³/f.u., VASP energy -6.15 eV/atom.